Material: CoTeMo
Method: DFT, PBE
State: relaxed

Its energy above the most stable polymorph in this dataset is 0.26 eV/f.u. The value obtained for the total energy is -0.2403 Ha/atom. The calculated density is 9.62 Mg/m³. Its crystal system is hexagonal. Its formation energy from raw total energies is 0.49 eV per atom.

The space group is P-6m2 (No. 187) and the conventional cell measures 4.2138, 4.2138 and 3.1722 Å, with angles of 90.00, 90.00 and 120.00 degrees. The inequivalent atoms are Co at (0.0000, 0.0000, 0.0000), Te at (0.6667, 0.3333, 0.0000) and Mo at (0.3333, 0.6667, 0.5000).



Material: CoTeMo
Method: DFT, PBE
State: relaxed

Its energy above the most stable polymorph in this dataset is 0.00 eV/f.u. The value obtained for the total energy is -0.2435 Ha/atom. The calculated density is 8.45 Mg/m³. Its crystal system is hexagonal. Its formation energy from raw total energies is 0.40 eV per atom.

The space group is P-6m2 (No. 187) and the conventional cell measures 3.7577, 3.7577 and 9.0747 Å, with angles of 90.00, 90.00 and 120.00 degrees. The inequivalent atoms are Co at (0.0000, 0.0000, 0.0000), Co at (0.3333, 0.6667, 0.5000), Te at (0.0000, 0.0000, 0.3255) and Mo at (0.3333, 0.6667, 0.1354).



Material: CoTeMo
Method: DFT, PBE
State: relaxed

Its energy above the most stable polymorph in this dataset is 0.06 eV/f.u. The value obtained for the total energy is -0.2427 Ha/atom. The calculated density is 8.67 Mg/m³. Its crystal system is orthorhombic. Its formation energy from raw total energies is 0.42 eV per atom.

The space group is Pmmn (No. 59, origin choice 2) and the conventional cell measures 3.768, 4.849 and 5.926 Å, with angles of 90.00, 90.00 and 90.00 degrees. The inequivalent atoms are Co at (0.250, 0.250, 0.248), Te at (0.250, 0.750, 0.451) and Mo at (0.250, 0.750, 0.003).



Material: Co2TeMo
Method: DFT, PBE
State: relaxed

The value obtained for the total energy is -0.2452 Ha/atom. The calculated density is 9.82 Mg/m³. Its crystal system is monoclinic. Its formation energy from raw total energies is 0.37 eV per atom.

The space group is Pm (No. 6) and the conventional cell measures 2.912, 4.215 and 4.704 Å, with angles of 90.00, 90.14 and 90.00 degrees. The inequivalent atoms are Co at (0.000, 0.000, 0.000), Co at (0.001, 0.500, 0.311), Te at (0.502, 0.000, 0.443) and Mo at (0.498, 0.500, 0.835).



Material: CoTe2Mo
Method: DFT, PBE
State: relaxed

Its energy above the most stable polymorph in this dataset is 1.94 eV/f.u. The value obtained for the total energy is -0.2053 Ha/atom. The calculated density is 6.74 Mg/m³. Its crystal system is tetragonal. Its formation energy from raw total energies is 0.47 eV per atom.

The space group is I-42d (No. 122) and the conventional cell measures 5.937, 5.937 and 11.470 Å, with angles of 90.00, 90.00 and 90.00 degrees. The inequivalent atoms are Co at (0.000, 0.000, 0.000), Te at (0.225, 0.250, 0.125) and Mo at (0.000, 0.000, 0.500).



Material: CoTe2Mo
Method: DFT, PBE
State: relaxed

Its energy above the most stable polymorph in this dataset is 0.80 eV/f.u. The value obtained for the total energy is -0.2158 Ha/atom. The calculated density is 7.25 Mg/m³. Its crystal system is orthorhombic. Its formation energy from raw total energies is 0.18 eV per atom.

The space group is Imm2 (No. 44) and the conventional cell measures 3.578, 3.582 and 14.658 Å, with angles of 90.00, 90.00 and 90.00 degrees. The inequivalent atoms are Co at (0.000, 0.000, 0.000), Te at (0.000, 0.000, 0.541), Te at (0.000, 0.500, 0.794) and Mo at (0.000, 0.500, 0.386).



Computed spin magnetization (μB per formula unit) in order:
1.8; 0.1; 0.0; 0.3; 0.0; 1.2